*1*
A plane-wave DFT calculation with PBE was carried out for an optimized crystal structure of Nd3PPb.

The magnetization is 0.00 μB/cell.

The space group is Pm-3m (No. 221) and the conventional cell measures 5.470, 5.470 and 5.470 Å, with angles of 90.00, 90.00 and 90.00 degrees. The asymmetric unit holds Nd at (0.000, 0.000, 0.500), P at (0.000, 0.000, 0.000) and Pb at (0.500, 0.500, 0.500).

---

*2*
A plane-wave DFT calculation with PBE was carried out for an optimized crystal structure of Nd3PPb.

The magnetization is 2.34 μB/cell.

The space group is Pnma (No. 62) and the conventional cell measures 8.881, 4.343 and 15.544 Å, with angles of 90.00, 90.00 and 90.00 degrees. The asymmetric unit holds Nd at (0.022, 0.250, 0.107), Nd at (0.158, 0.250, 0.516), Nd at (0.185, 0.750, 0.287), P at (0.172, 0.250, 0.945) and Pb at (0.094, 0.750, 0.679).

---

Looking at the structures above, which would you pick as the most stable? I would pick *2*.